Entry 1:
# GGA-PBE Sn2BiPt9, relaxed
# Magnetic moment (μB/f.u.): 0.0
# Calculated formation energy (meV per atom): -259
data_Sn2BiPt9
_chemical_formula_sum 'Sn2 Bi1 Pt9'
_space_group_name_H-M_alt 'P 1'
_space_group_IT_number 1
_space_group_name_Hall 'P 1'
_cell_length_a 4.106
_cell_length_b 4.106
_cell_length_c 12.252
_cell_angle_alpha 90.00
_cell_angle_beta 90.00
_cell_angle_gamma 90.00
loop_
_atom_site_label
_atom_site_type_symbol
_atom_site_fract_x
_atom_site_fract_y
_atom_site_fract_z
Pt1 Pt 0.500 0.500 0.000
Bi1 Bi 0.000 0.000 0.000
Pt2 Pt 0.500 0.000 0.500
Sn1 Sn 0.000 0.000 0.337
Pt3 Pt 0.500 0.500 0.663
Pt4 Pt 0.000 0.500 0.824
Pt5 Pt 0.500 0.500 0.337
Sn2 Sn 0.000 0.000 0.663
Pt6 Pt 0.500 0.000 0.176
Pt7 Pt 0.000 0.500 0.176
Pt8 Pt 0.500 0.000 0.824
Pt9 Pt 0.000 0.500 0.500


Entry 2:
# GGA-PBE MgCdNi2, relaxed
# Magnetic moment (μB/f.u.): 0.0
# Calculated formation energy (meV per atom): 302
data_MgCdNi2
_chemical_formula_sum 'Mg2 Cd2 Ni4'
_space_group_name_H-M_alt 'P 1'
_space_group_IT_number 1
_space_group_name_Hall 'P 1'
_cell_length_a 6.923
_cell_length_b 6.923
_cell_length_c 5.584
_cell_angle_alpha 51.69
_cell_angle_beta 51.69
_cell_angle_gamma 90.00
loop_
_atom_site_label
_atom_site_type_symbol
_atom_site_fract_x
_atom_site_fract_y
_atom_site_fract_z
Mg1 Mg 0.500 0.500 0.000
Ni1 Ni 0.621 0.125 0.250
Cd1 Cd 0.000 0.000 0.000
Ni2 Ni 0.875 0.871 0.750
Ni3 Ni 0.129 0.625 0.250
Mg2 Mg 0.250 0.750 0.500
Cd2 Cd 0.750 0.250 0.500
Ni4 Ni 0.375 0.379 0.750


Entry 3:
# GGA-PBE NaNd3Se4, relaxed
# Magnetic moment (μB/f.u.): 0.0
# Formation energy without anion corrections (meV per atom): -1782
data_NaNd3Se4
_chemical_formula_sum 'Na1 Nd3 Se4'
_space_group_name_H-M_alt 'P 1'
_space_group_IT_number 1
_space_group_name_Hall 'P 1'
_cell_length_a 5.977
_cell_length_b 5.977
_cell_length_c 5.977
_cell_angle_alpha 90.00
_cell_angle_beta 90.00
_cell_angle_gamma 90.00
loop_
_atom_site_label
_atom_site_type_symbol
_atom_site_fract_x
_atom_site_fract_y
_atom_site_fract_z
Nd1 Nd 0.000 0.500 0.500
Se1 Se 0.000 0.500 0.000
Na1 Na 0.000 0.000 0.000
Nd2 Nd 0.500 0.500 0.000
Se2 Se 0.000 0.000 0.500
Nd3 Nd 0.500 0.000 0.500
Se3 Se 0.500 0.000 0.000
Se4 Se 0.500 0.500 0.500


Entry 4:
# GGA-PBE RbTl2Ru, relaxed
# Magnetic moment (μB/f.u.): 0.8
# Calculated formation energy (meV per atom): 774
data_RbTl2Ru
_chemical_formula_sum 'Rb1 Tl2 Ru1'
_space_group_name_H-M_alt 'P 1'
_space_group_IT_number 1
_space_group_name_Hall 'P 1'
_cell_length_a 5.315
_cell_length_b 5.315
_cell_length_c 5.315
_cell_angle_alpha 60.00
_cell_angle_beta 60.00
_cell_angle_gamma 60.00
loop_
_atom_site_label
_atom_site_type_symbol
_atom_site_fract_x
_atom_site_fract_y
_atom_site_fract_z
Ru1 Ru 0.500 0.500 0.500
Rb1 Rb 0.000 0.000 0.000
Tl1 Tl 0.750 0.750 0.750
Tl2 Tl 0.250 0.250 0.250


Entry 5:
# GGA-PBE RbSnSb2Os, relaxed
# Magnetic moment (μB/f.u.): 0.9
# Formation energy without anion corrections (meV per atom): 2288
data_RbSnSb2Os
_chemical_formula_sum 'Rb1 Sn1 Sb2 Os1'
_space_group_name_H-M_alt 'P 1'
_space_group_IT_number 1
_space_group_name_Hall 'P 1'
_cell_length_a 5.858
_cell_length_b 4.981
_cell_length_c 5.858
_cell_angle_alpha 90.00
_cell_angle_beta 90.00
_cell_angle_gamma 90.00
loop_
_atom_site_label
_atom_site_type_symbol
_atom_site_fract_x
_atom_site_fract_y
_atom_site_fract_z
Os1 Os 0.000 0.500 0.000
Rb1 Rb 0.000 0.000 0.000
Sn1 Sn 0.500 0.500 0.500
Sb1 Sb 0.500 0.000 0.000
Sb2 Sb 0.000 0.000 0.500


Entry 6:
# GGA-PBE Sc2MnAs, relaxed
# Magnetic moment (μB/f.u.): 0.0
# Calculated formation energy (meV per atom): 237
data_Sc2MnAs
_chemical_formula_sum 'Sc2 Mn1 As1'
_space_group_name_H-M_alt 'P 1'
_space_group_IT_number 1
_space_group_name_Hall 'P 1'
_cell_length_a 8.377
_cell_length_b 8.377
_cell_length_c 8.377
_cell_angle_alpha 23.19
_cell_angle_beta 23.19
_cell_angle_gamma 23.19
loop_
_atom_site_label
_atom_site_type_symbol
_atom_site_fract_x
_atom_site_fract_y
_atom_site_fract_z
Mn1 Mn 0.000 0.000 0.000
Sc1 Sc 0.091 0.091 0.091
As1 As 0.500 0.500 0.500
Sc2 Sc 0.909 0.909 0.909


Entry 7:
# GGA-PBE SmY2Ho4, relaxed
# Magnetic moment (μB/f.u.): 0.0
# Calculated formation energy (meV per atom): 129
data_SmY2Ho4
_chemical_formula_sum 'Sm2 Y4 Ho8'
_space_group_name_H-M_alt 'P 1'
_space_group_IT_number 1
_space_group_name_Hall 'P 1'
_cell_length_a 6.088
_cell_length_b 6.567
_cell_length_c 11.659
_cell_angle_alpha 90.00
_cell_angle_beta 106.70
_cell_angle_gamma 90.00
loop_
_atom_site_label
_atom_site_type_symbol
_atom_site_fract_x
_atom_site_fract_y
_atom_site_fract_z
Ho1 Ho 0.641 0.008 0.290
Ho2 Ho 0.013 0.250 0.161
Y1 Y 0.388 0.250 0.992
Ho3 Ho 0.359 0.508 0.710
Ho4 Ho 0.987 0.750 0.839
Y2 Y 0.612 0.750 0.008
Sm1 Sm 0.821 0.250 0.860
Ho5 Ho 0.641 0.492 0.290
Y3 Y 0.291 0.250 0.447
Ho6 Ho 0.359 0.992 0.710
Ho7 Ho 0.859 0.250 0.576
Sm2 Sm 0.179 0.750 0.140
Ho8 Ho 0.141 0.750 0.424
Y4 Y 0.709 0.750 0.553


Entry 8:
# GGA-PBE Nd7Sm2Mg2, relaxed
# Magnetic moment (μB/f.u.): 0.0
# Calculated formation energy (meV per atom): 108
data_Nd7Sm2Mg2
_chemical_formula_sum 'Nd7 Sm2 Mg2'
_space_group_name_H-M_alt 'P 1'
_space_group_IT_number 1
_space_group_name_Hall 'P 1'
_cell_length_a 6.223
_cell_length_b 7.962
_cell_length_c 7.962
_cell_angle_alpha 94.14
_cell_angle_beta 75.26
_cell_angle_gamma 75.26
loop_
_atom_site_label
_atom_site_type_symbol
_atom_site_fract_x
_atom_site_fract_y
_atom_site_fract_z
Sm1 Sm 0.201 0.582 0.582
Nd1 Nd 0.406 0.206 0.206
Mg1 Mg 0.500 0.233 0.767
Nd2 Nd 0.594 0.794 0.794
Nd3 Nd 0.813 0.935 0.420
Nd4 Nd 0.187 0.580 0.065
Nd5 Nd 0.000 0.000 0.000
Sm2 Sm 0.799 0.418 0.418
Nd6 Nd 0.187 0.065 0.580
Mg2 Mg 0.500 0.767 0.233
Nd7 Nd 0.813 0.420 0.935